VASP calculation (PBE with a Hubbard U) on a relaxed structure of ScNiBO4.

Computed properties:
- DFT total energy: -7.235 eV/atom
- Space group: Imma
- Energy above the most stable polymorph in this dataset: 1.97 eV per formula unit
- Total moment: 4.00 μB/cell

Cell and atoms, written as extended XYZ:
```
14
Lattice="-0.764 1.142 5.373 -5.146 -0.451 2.226 -0.976 -4.197 3.615" Properties=species:S:1:pos:R:3 pbc="T T T"
Sc 0.000 0.000 0.000
Sc -3.061 -2.324 2.921
Ni -0.870 -1.528 4.494
Ni -0.488 -2.099 1.808
B -3.822 -0.100 5.202
B -3.063 -3.406 6.013
O -5.113 -2.832 8.462
O -4.573 -3.231 5.761
O -2.312 -0.275 5.454
O -1.772 -0.674 2.754
O -4.255 -1.012 4.042
O -4.600 -0.496 6.468
O -2.285 -3.010 4.747
O -2.630 -2.494 7.173
```